Computed, not measured: crystalline HoSi2TcRu at its relaxed geometry at the PBE-GGA level of DFT.

```
HoSi2TcRu
1.0
4.199 0.000 0.000
0.000 4.199 0.000
0.000 0.000 9.614
Ho Si Tc Ru
2 4 2 2
Direct
0.000 0.000 0.000
0.500 0.500 0.500
0.000 0.000 0.371
0.000 0.000 0.629
0.500 0.500 0.129
0.500 0.500 0.871
0.000 0.500 0.750
0.500 0.000 0.250
0.000 0.500 0.250
0.500 0.000 0.750
```

Results
DFT total energy in eV per atom: -7.765
Formation energy (no corrections) in eV/f.u.: -3.8
Space-group type: I-4m2, No. 119